# 1
The following is a GGA-PBE calculation of crystalline KAcPN2 at its relaxed geometry, from Alexandria via LeMat-Bulk.

abc: 6.082 5.161 7.837
angles: 90.00 90.00 90.00
Fractional positions:
K 0.500 0.000 0.250
K 0.500 0.000 0.750
Ac 0.000 0.500 0.750
Ac 0.000 0.500 0.250
P 0.000 0.000 0.000
P 0.000 0.000 0.500
N 0.823 0.745 0.000
N 0.823 0.255 0.500
N 0.177 0.745 0.500
N 0.177 0.255 0.000

# 2
The following is a GGA-PBE calculation of crystalline K2AcRe2N6 at its relaxed geometry, from Alexandria via LeMat-Bulk.

abc: 6.476 6.440 7.647
angles: 117.82 90.00 120.18
Fractional positions:
K 0.705 0.410 0.173
K 0.295 0.590 0.827
Ac 0.500 0.000 0.500
Re 0.965 0.929 0.800
Re 0.035 0.071 0.200
N 0.774 0.548 0.642
N 0.186 0.910 0.221
N 0.276 0.090 0.779
N 0.814 0.090 0.779
N 0.724 0.910 0.221
N 0.226 0.452 0.358

# 3
The following is a GGA-PBE calculation of crystalline KAcReN3 at its relaxed geometry, from Alexandria via LeMat-Bulk.

abc: 3.997 7.545 7.908
angles: 105.51 90.00 105.36
Fractional positions:
K 0.374 0.749 0.931
K 0.626 0.251 0.069
Ac 0.665 0.330 0.608
Ac 0.335 0.670 0.392
Re 0.008 0.016 0.334
Re 0.992 0.984 0.666
N 0.878 0.757 0.199
N 0.852 0.704 0.633
N 0.511 0.023 0.332
N 0.148 0.296 0.367
N 0.489 0.977 0.668
N 0.122 0.243 0.801

# 4
The following is a GGA-PBE calculation of crystalline KAc2ReN4 at its relaxed geometry, from Alexandria via LeMat-Bulk.

abc: 3.652 7.150 12.967
angles: 90.00 90.00 104.80
Fractional positions:
K 0.073 0.146 0.750
K 0.927 0.854 0.250
Ac 0.373 0.746 0.539
Ac 0.627 0.254 0.039
Ac 0.627 0.254 0.461
Ac 0.373 0.746 0.961
Re 0.801 0.603 0.750
Re 0.199 0.397 0.250
N 0.260 0.521 0.123
N 0.740 0.479 0.623
N 0.740 0.479 0.877
N 0.260 0.521 0.377
N 0.000 0.000 0.500
N 0.000 0.000 0.000
N 0.365 0.730 0.750
N 0.635 0.270 0.250

# 5
The following is a GGA-PBE calculation of crystalline KAc2TaN4 at its relaxed geometry, from Alexandria via LeMat-Bulk.

abc: 7.431 7.431 7.090
angles: 118.49 118.49 95.50
Fractional positions:
K 0.000 0.500 0.000
K 0.000 0.500 0.500
Ac 0.500 0.000 0.000
Ac 0.500 0.000 0.500
Ac 0.000 0.000 0.500
Ac 0.500 0.500 0.000
Ta 0.500 0.500 0.500
Ta 0.000 0.000 0.000
N 0.202 0.831 0.017
N 0.669 0.298 0.483
N 0.331 0.702 0.517
N 0.798 0.169 0.983
N 0.748 0.752 0.971
N 0.748 0.752 0.529
N 0.252 0.248 0.471
N 0.252 0.248 0.029

# 6
The following is a GGA-PBE calculation of crystalline KAcTcN3 at its relaxed geometry, from Alexandria via LeMat-Bulk.

abc: 4.028 7.528 7.841
angles: 105.93 90.00 105.52
Fractional positions:
K 0.375 0.750 0.930
K 0.625 0.250 0.070
Ac 0.663 0.326 0.606
Ac 0.337 0.674 0.394
Tc 0.008 0.015 0.330
Tc 0.992 0.985 0.670
N 0.877 0.755 0.200
N 0.852 0.704 0.631
N 0.511 0.022 0.330
N 0.148 0.296 0.369
N 0.489 0.978 0.670
N 0.123 0.245 0.800

Spin magnetization? In order: 0.73; 1.03; 0.00; 0.00; 0.00; 0.00 μB/f.u..
E_form (uncorrected)? In order: -0.200; -0.315; -0.432; -0.579; -0.578; -0.344 eV/atom.